Below is crystalline Ac2GeN at its relaxed geometry, with properties calculated at the PBE-GGA level.

POSCAR file:
```
Ac2GeN
1.0
3.748 0.000 0.000
0.000 3.748 0.000
0.000 0.000 8.121
N Ac Ge
1 2 1
Direct
0.000 0.000 0.435
0.500 0.500 0.356
0.000 0.000 0.741
0.500 0.500 0.968
```

Results
Mass density: 7.9 Mg/m³
Energy relative to the elements, uncorrected: -0.57 eV per atom
V: 28.5 A^3/atom
ΔE to the lowest computed polymorph: 202 meV per atom
Total energy: -5.863 eV/atom



Below is crystalline CaInOs3 at its relaxed geometry, with properties calculated at the PBE-GGA level.

POSCAR file:
```
CaInOs3
1.0
4.913 0.000 0.000
0.000 4.913 0.000
0.000 0.000 4.913
Ca Os In
1 3 1
Direct
0.500 0.500 0.500
0.500 0.000 0.000
0.000 0.500 0.000
0.000 0.000 0.500
0.000 0.000 0.000
```

Results
Energy relative to the elements: 2.184 eV per atom
Mass density: 10.2 Mg/m³
V: 23.7 A^3/atom
ΔE to the lowest computed polymorph: 0 meV per atom
Total energy: -5.502 eV/atom



Below is crystalline YPuV4 at its relaxed geometry, with properties calculated at the PBE-GGA level.

POSCAR file:
```
YPuV4
1.0
-5.298 -0.491 -0.068
-2.511 -1.104 -4.559
-2.219 -4.781 -0.725
Pu V Y
1 4 1
Direct
0.250 0.250 0.250
0.134 0.622 0.622
0.622 0.622 0.622
0.622 0.622 0.134
0.622 0.134 0.622
0.000 0.000 0.000
```

Results
Energy relative to the elements: 0.347 eV per atom
Mass density: 8.4 Mg/m³
V: 17.8 A^3/atom
Total energy: -9.198 eV/atom



Below is crystalline PrPaPtO6 at its relaxed geometry, with properties calculated at the PBE-GGA level.

POSCAR file:
```
PrPaPtO6
1.0
5.460 0.000 0.000
-2.730 4.728 0.000
0.000 0.000 10.605
O Pr Pt Pa
12 2 2 2
Direct
0.658 0.638 0.139
0.362 0.342 0.361
0.342 0.362 0.861
0.020 0.362 0.639
0.638 0.658 0.639
0.362 0.020 0.139
0.638 0.980 0.861
0.020 0.658 0.861
0.658 0.020 0.361
0.980 0.342 0.139
0.342 0.980 0.639
0.980 0.638 0.361
0.000 0.000 0.500
0.000 0.000 0.000
0.333 0.667 0.750
0.667 0.333 0.250
0.667 0.333 0.750
0.333 0.667 0.250
```

Results
Mass density: 8.0 Mg/m³
Energy relative to the elements, uncorrected: -2.49 eV per atom
V: 15.2 A^3/atom
Total energy: -8.054 eV/atom



Below is crystalline Na8Sn2Sb at its relaxed geometry, with properties calculated at the PBE-GGA level.

POSCAR file:
```
Na8Sn2Sb
1.0
-1.549 0.961 -5.028
4.958 -7.134 -2.894
-7.111 -0.785 4.888
Na Sb Sn
8 1 2
Direct
0.614 0.092 0.864
0.931 0.606 0.499
0.822 0.129 0.281
0.990 0.036 0.616
0.313 0.838 0.262
0.604 0.714 0.844
0.094 0.492 0.825
0.271 0.359 0.179
0.150 0.936 0.937
0.491 0.276 0.618
0.720 0.523 0.076
```

Results
Mass density: 2.7 Mg/m³
Energy relative to the elements, uncorrected: -0.23 eV per atom
V: 29.9 A^3/atom
ΔE to the lowest computed polymorph: 0 meV per atom
Total energy: -2.291 eV/atom



Below is crystalline ThNi2Sb at its relaxed geometry, with properties calculated at the PBE-GGA level.

POSCAR file:
```
ThNi2Sb
1.0
4.088 0.000 -1.383
0.000 6.714 0.000
-0.231 0.000 6.025
Ni Sb Th
4 2 2
Direct
0.216 0.566 0.432
0.784 0.066 0.568
0.784 0.434 0.568
0.216 0.934 0.432
0.633 0.750 0.267
0.367 0.250 0.733
0.923 0.750 0.844
0.077 0.250 0.156
```

Results
Mass density: 9.6 Mg/m³
Energy relative to the elements, uncorrected: -0.38 eV per atom
V: 20.4 A^3/atom
Total energy: -6.155 eV/atom



> Number 3 is which compound?

YPuV4